No. 1
# GGA-PBE Ge3SBr, optimized geometry
data_Ge3SBr
_chemical_formula_sum 'Ge3 S1 Br1'
_cell_length_a 5.197
_cell_length_b 5.197
_cell_length_c 5.197
_cell_angle_alpha 90.00
_cell_angle_beta 90.00
_cell_angle_gamma 90.00
_symmetry_space_group_name_H-M 'P m -3 m'
_symmetry_Int_Tables_number 221
_symmetry_space_group_name_Hall '-P 4 2 3'
loop_
_atom_site_label
_atom_site_type_symbol
_atom_site_fract_x
_atom_site_fract_y
_atom_site_fract_z
Ge1 Ge 0.000 0.000 0.500
S1 S 0.500 0.500 0.500
Br1 Br 0.000 0.000 0.000
# * E: -13.882 eV per cell
# * offset from the most stable computed form: 619 meV per atom


No. 2
# GGA-PBE GeSBr2, optimized geometry
data_GeSBr2
_chemical_formula_sum 'Ge4 S4 Br8'
_cell_length_a 7.219
_cell_length_b 7.219
_cell_length_c 7.219
_cell_angle_alpha 90.00
_cell_angle_beta 90.00
_cell_angle_gamma 90.00
_symmetry_space_group_name_H-M 'F m -3 m'
_symmetry_Int_Tables_number 225
_symmetry_space_group_name_Hall '-F 4 2 3'
loop_
_atom_site_label
_atom_site_type_symbol
_atom_site_fract_x
_atom_site_fract_y
_atom_site_fract_z
Ge1 Ge 0.000 0.000 0.000
S1 S 0.000 0.000 0.500
Br1 Br 0.250 0.250 0.250
# * E: -40.799 eV per cell
# * offset from the most stable computed form: 761 meV per atom


No. 3
# GGA-PBE Ge2SBr2, optimized geometry
data_Ge2SBr2
_chemical_formula_sum 'Ge4 S2 Br4'
_cell_length_a 8.677
_cell_length_b 8.677
_cell_length_c 3.444
_cell_angle_alpha 90.00
_cell_angle_beta 90.00
_cell_angle_gamma 90.00
_symmetry_space_group_name_H-M 'P 4/m b m'
_symmetry_Int_Tables_number 127
_symmetry_space_group_name_Hall '-P 4 2ab'
loop_
_atom_site_label
_atom_site_type_symbol
_atom_site_fract_x
_atom_site_fract_y
_atom_site_fract_z
Ge1 Ge 0.217 0.283 0.000
S1 S 0.000 0.000 0.500
Br1 Br 0.125 0.625 0.500
# * E: -29.771 eV per cell
# * offset from the most stable computed form: 743 meV per atom


No. 4
# GGA-PBE Ge2SBr2, optimized geometry
data_Ge2SBr2
_chemical_formula_sum 'Ge4 S2 Br4'
_cell_length_a 5.201
_cell_length_b 5.201
_cell_length_c 10.054
_cell_angle_alpha 90.00
_cell_angle_beta 90.00
_cell_angle_gamma 90.00
_symmetry_space_group_name_H-M 'I 4/m m m'
_symmetry_Int_Tables_number 139
_symmetry_space_group_name_Hall '-I 4 2'
loop_
_atom_site_label
_atom_site_type_symbol
_atom_site_fract_x
_atom_site_fract_y
_atom_site_fract_z
Ge1 Ge 0.000 0.500 0.250
S1 S 0.000 0.000 0.000
Br1 Br 0.000 0.000 0.345
# * E: -30.092 eV per cell
# * offset from the most stable computed form: 711 meV per atom


No. 5
# GGA-PBE GeSBr2, optimized geometry
data_GeSBr2
_chemical_formula_sum 'Ge4 S4 Br8'
_cell_length_a 10.090
_cell_length_b 10.090
_cell_length_c 4.798
_cell_angle_alpha 90.00
_cell_angle_beta 90.00
_cell_angle_gamma 90.00
_symmetry_space_group_name_H-M 'I -4 2 d'
_symmetry_Int_Tables_number 122
_symmetry_space_group_name_Hall 'I -4 2bw'
loop_
_atom_site_label
_atom_site_type_symbol
_atom_site_fract_x
_atom_site_fract_y
_atom_site_fract_z
Ge1 Ge 0.000 0.000 0.000
S1 S 0.000 0.000 0.500
Br1 Br 0.090 0.750 0.125
# * E: -46.918 eV per cell
# * offset from the most stable computed form: 378 meV per atom


No. 6
# GGA-PBE Ge4S2Br3, optimized geometry
data_Ge4S2Br3
_chemical_formula_sum 'Ge8 S4 Br6'
_cell_length_a 12.014
_cell_length_b 3.628
_cell_length_c 11.876
_cell_angle_alpha 90.00
_cell_angle_beta 104.21
_cell_angle_gamma 90.00
_symmetry_space_group_name_H-M 'C 1 2/m 1'
_symmetry_Int_Tables_number 12
loop_
_symmetry_equiv_pos_as_xyz
'x,y,z'
'-x,-y,-z'
'-x,y,-z'
'x,-y,z'
'x+1/2,y+1/2,z'
'-x+1/2,-y+1/2,-z'
'-x+1/2,y+1/2,-z'
'x+1/2,-y+1/2,z'
loop_
_atom_site_label
_atom_site_type_symbol
_atom_site_fract_x
_atom_site_fract_y
_atom_site_fract_z
Ge1 Ge 0.183 0.000 0.127
Ge2 Ge 0.193 0.500 0.569
S1 S 0.217 0.500 0.282
Br1 Br 0.000 0.000 0.500
Br2 Br 0.116 0.500 0.906
# * E: -66.892 eV per cell


No. 7
# GGA-PBE GeS6Br2, optimized geometry
data_GeS6Br2
_chemical_formula_sum 'Ge1 S6 Br2'
_cell_length_a 4.186
_cell_length_b 8.092
_cell_length_c 8.115
_cell_angle_alpha 111.21
_cell_angle_beta 90.50
_cell_angle_gamma 90.43
_symmetry_space_group_name_H-M 'P -1'
_symmetry_Int_Tables_number 2
loop_
_symmetry_equiv_pos_as_xyz
'x,y,z'
'-x,-y,-z'
loop_
_atom_site_label
_atom_site_type_symbol
_atom_site_fract_x
_atom_site_fract_y
_atom_site_fract_z
Ge1 Ge 0.000 0.000 0.000
S1 S 0.091 0.729 0.482
S2 S 0.092 0.481 0.728
S3 S 0.142 0.306 0.306
Br1 Br 0.500 0.142 0.859
# * E: -33.675 eV per cell


No. 8
# GGA-PBE GeS8Br2, optimized geometry
data_GeS8Br2
_chemical_formula_sum 'Ge2 S16 Br4'
_cell_length_a 14.516
_cell_length_b 6.197
_cell_length_c 9.963
_cell_angle_alpha 90.00
_cell_angle_beta 122.19
_cell_angle_gamma 90.00
_symmetry_space_group_name_H-M 'C 1 2/m 1'
_symmetry_Int_Tables_number 12
loop_
_symmetry_equiv_pos_as_xyz
'x,y,z'
'-x,-y,-z'
'-x,y,-z'
'x,-y,z'
'x+1/2,y+1/2,z'
'-x+1/2,-y+1/2,-z'
'-x+1/2,y+1/2,-z'
'x+1/2,-y+1/2,z'
loop_
_atom_site_label
_atom_site_type_symbol
_atom_site_fract_x
_atom_site_fract_y
_atom_site_fract_z
Ge1 Ge 0.000 0.000 0.000
S1 S 0.058 0.500 0.347
S2 S 0.123 0.259 0.268
S3 S 0.206 0.500 0.221
Br1 Br 0.223 0.000 0.132
# * E: -77.620 eV per cell


No. 9
# GGA-PBE GeSeSBr2, optimized geometry
data_GeSeSBr2
_chemical_formula_sum 'Ge1 Se1 S1 Br2'
_cell_length_a 5.300
_cell_length_b 5.300
_cell_length_c 5.205
_cell_angle_alpha 90.00
_cell_angle_beta 90.00
_cell_angle_gamma 90.00
_symmetry_space_group_name_H-M 'P 4/m m m'
_symmetry_Int_Tables_number 123
_symmetry_space_group_name_Hall '-P 4 2'
loop_
_atom_site_label
_atom_site_type_symbol
_atom_site_fract_x
_atom_site_fract_y
_atom_site_fract_z
Ge1 Ge 0.000 0.000 0.000
Se1 Se 0.000 0.000 0.500
S1 S 0.500 0.500 0.500
Br1 Br 0.000 0.500 0.000
# * E: -13.023 eV per cell
# * offset from the most stable computed form: 47 meV per atom


No. 10
# GGA-PBE GeSeSBr2, optimized geometry
data_GeSeSBr2
_chemical_formula_sum 'Ge1 Se1 S1 Br2'
_cell_length_a 5.078
_cell_length_b 5.078
_cell_length_c 5.029
_cell_angle_alpha 90.00
_cell_angle_beta 90.00
_cell_angle_gamma 90.00
_symmetry_space_group_name_H-M 'P 4/m m m'
_symmetry_Int_Tables_number 123
_symmetry_space_group_name_Hall '-P 4 2'
loop_
_atom_site_label
_atom_site_type_symbol
_atom_site_fract_x
_atom_site_fract_y
_atom_site_fract_z
Ge1 Ge 0.000 0.000 0.000
Se1 Se 0.500 0.500 0.000
S1 S 0.500 0.500 0.500
Br1 Br 0.000 0.500 0.500
# * E: -13.259 eV per cell
# * offset from the most stable computed form: 0 meV per atom


No. 11
# GGA-PBE Sm6Ge2S3Br, optimized geometry
data_Sm6Ge2S3Br
_chemical_formula_sum 'Sm12 Ge4 S6 Br2'
_cell_length_a 17.975
_cell_length_b 4.121
_cell_length_c 8.332
_cell_angle_alpha 90.00
_cell_angle_beta 102.42
_cell_angle_gamma 90.00
_symmetry_space_group_name_H-M 'C 1 2/m 1'
_symmetry_Int_Tables_number 12
loop_
_symmetry_equiv_pos_as_xyz
'x,y,z'
'-x,-y,-z'
'-x,y,-z'
'x,-y,z'
'x+1/2,y+1/2,z'
'-x+1/2,-y+1/2,-z'
'-x+1/2,y+1/2,-z'
'x+1/2,-y+1/2,z'
loop_
_atom_site_label
_atom_site_type_symbol
_atom_site_fract_x
_atom_site_fract_y
_atom_site_fract_z
Sm1 Sm 0.002 0.000 0.280
Sm2 Sm 0.167 0.500 0.584
Sm3 Sm 0.177 0.500 0.094
Ge1 Ge 0.166 0.000 0.331
S1 S 0.000 0.500 0.500
S2 S 0.162 0.000 0.837
Br1 Br 0.000 0.500 0.000
# * E: -140.151 eV per cell


No. 12
# GGA-PBE Sm4GeS2Br, optimized geometry
data_Sm4GeS2Br
_chemical_formula_sum 'Sm4 Ge1 S2 Br1'
_cell_length_a 7.136
_cell_length_b 4.099
_cell_length_c 7.238
_cell_angle_alpha 90.00
_cell_angle_beta 108.89
_cell_angle_gamma 90.00
_symmetry_space_group_name_H-M 'P 1 2/m 1'
_symmetry_Int_Tables_number 10
loop_
_symmetry_equiv_pos_as_xyz
'x,y,z'
'-x,-y,-z'
'-x,y,-z'
'x,-y,z'
loop_
_atom_site_label
_atom_site_type_symbol
_atom_site_fract_x
_atom_site_fract_y
_atom_site_fract_z
Sm1 Sm 0.223 0.000 0.220
Sm2 Sm 0.237 0.500 0.763
Ge1 Ge 0.500 0.000 0.000
S1 S 0.000 0.000 0.500
S2 S 0.000 0.500 0.000
Br1 Br 0.500 0.500 0.500
# * E: -45.891 eV per cell